1.
Entry from the Alexandria database: a relaxed NaSr2ScPt crystal (GGA-PBE).

Results
- E_form (eV per atom) = -0.3331
- energy above the lowest structure with this stoichiometry (meV per atom) = 0

POSCAR file:
```
NaSr2ScPt
1.0
6.058 0.000 0.000
0.000 6.058 0.000
0.000 0.000 5.132
Na Sr Sc Pt
1 2 1 1
Cartesian
0.000 0.000 0.000 Na
0.000 3.029 2.566 Sr
3.029 0.000 2.566 Sr
3.029 3.029 0.000 Sc
3.029 3.029 2.566 Pt
```

***

2.
Entry from the Alexandria database: a relaxed Li5ZnIn6 crystal (GGA-PBE).

Results
- E_form (eV per atom) = -0.2187

POSCAR file:
```
Li5ZnIn6
1.0
7.429 -3.551 0.000
7.429 3.551 0.000
-1.452 0.000 4.531
Li Zn In
5 1 6
Cartesian
0.000 0.000 0.000 Li
1.493 0.000 3.015 Li
4.485 0.000 1.509 Li
8.920 0.000 3.022 Li
11.912 0.000 1.517 Li
7.429 0.000 0.000 Zn
3.736 1.788 3.774 In
6.703 1.780 2.266 In
9.670 1.788 0.757 In
3.736 -1.788 3.774 In
6.703 -1.780 2.266 In
9.670 -1.788 0.757 In
```

***

3.
Entry from the Alexandria database: a relaxed Cd4SnH2 crystal (GGA-PBE).

Results
- DFT total energy (Ry/atom) = -0.1327

POSCAR file:
```
Cd4SnH2
1.0
4.824 0.000 0.000
0.000 3.075 0.000
-2.410 0.000 10.036
Cd Sn H
4 1 2
Cartesian
-0.005 0.000 1.702 Cd
0.014 1.538 6.839 Cd
2.401 1.538 3.197 Cd
2.419 0.000 8.334 Cd
2.412 1.538 0.000 Sn
0.001 0.000 5.707 H
2.414 0.000 4.329 H
```

***

4.
Entry from the Alexandria database: a relaxed BaSi2Cl crystal (GGA-PBE).

Results
- energy above the lowest structure with this stoichiometry (meV per atom) = 390

POSCAR file:
```
BaSi2Cl
1.0
4.083 0.000 0.000
0.000 4.083 0.000
0.000 0.000 6.578
Ba Si Cl
1 2 1
Cartesian
0.000 0.000 0.000 Ba
0.000 2.042 3.289 Si
2.042 0.000 3.289 Si
2.042 2.042 0.000 Cl
```